This record from Alexandria via LeMat-Bulk describes a relaxed Rb3PaFe2O9 crystal. The functional is GGA+U.

Calculated values
uncorrected energy: -6.176 eV per atom
DOS(E_F): 9.18 states/eV/f.u.

Structure (CIF):
```
data_Rb3PaFe2O9
_chemical_formula_sum 'Rb3 Pa1 Fe2 O9'
_cell_length_a 5.852
_cell_length_b 5.852
_cell_length_c 7.203
_cell_angle_alpha 90.00
_cell_angle_beta 90.00
_cell_angle_gamma 120.00
_space_group_name_H-M_alt 'P 1'
_space_group_IT_number 1
loop_
_space_group_symop_operation_xyz
'x,y,z'
loop_
_atom_site_label
_atom_site_fract_x
_atom_site_fract_y
_atom_site_fract_z
Fe1 0.667 0.333 0.836
Pa1 0.000 0.000 0.500
O1 0.172 0.344 0.325
O2 0.656 0.828 0.325
O3 0.344 0.172 0.675
Rb1 0.667 0.333 0.327
O4 0.172 0.828 0.325
Rb2 0.000 0.000 0.000
O5 0.500 0.500 0.000
Rb3 0.333 0.667 0.673
O6 0.500 0.000 0.000
O7 0.000 0.500 0.000
O8 0.828 0.172 0.675
O9 0.828 0.656 0.675
Fe2 0.333 0.667 0.164
```